## LaThCuOs (PBE-GGA)

Data for crystalline LaThCuOs at its relaxed geometry.

Calculated values
The final energy comes out at -7.0252 eV per atom. For the density, the calculation gives 11.254 Mg/m³. The calculation puts the formation energy from the elements at -0.107 eV per atom.

```
data_LaThCuOs
_cell_length_a 7.171
_cell_length_b 7.171
_cell_length_c 7.171
_cell_angle_alpha 90.00
_cell_angle_beta 90.00
_cell_angle_gamma 90.00
_space_group_name_H-M_alt 'F -4 3 m'
_space_group_IT_number 216
_space_group_name_Hall 'F -4 2 3'
loop_
_atom_site_label
_atom_site_fract_x
_atom_site_fract_y
_atom_site_fract_z
La1 0.000 0.000 0.000
Th1 0.000 0.000 0.500
Cu1 0.250 0.250 0.750
Os1 0.250 0.250 0.250
```

## Mn4Nb5Os (PBE-GGA)

Data for crystalline Mn4Nb5Os at its relaxed geometry.

Calculated values
The final energy comes out at -9.9575 eV per atom. For the density, the calculation gives 9.784 Mg/m³. The calculation puts the formation energy from the elements at -0.132 eV per atom.

```
data_Mn4Nb5Os
_cell_length_a 3.090
_cell_length_b 3.090
_cell_length_c 15.545
_cell_angle_alpha 90.00
_cell_angle_beta 90.00
_cell_angle_gamma 90.00
_space_group_name_H-M_alt 'P 4/m m m'
_space_group_IT_number 123
_space_group_name_Hall '-P 4 2'
loop_
_atom_site_label
_atom_site_fract_x
_atom_site_fract_y
_atom_site_fract_z
Mn1 0.000 0.000 0.098
Mn2 0.000 0.000 0.296
Nb1 0.500 0.500 0.000
Nb2 0.500 0.500 0.196
Nb3 0.500 0.500 0.392
Os1 0.000 0.000 0.500
```

## MgSiAs3 (PBE-GGA)

Data for crystalline MgSiAs3 at its relaxed geometry.

Calculated values
The final energy comes out at -3.2497 eV per atom. Its formation energy (no corrections) is 0.944 eV per atom. For the density, the calculation gives 3.819 Mg/m³. The energy above the lowest structure with this stoichiometry is 46.1 kJ/mol of atoms.

```
data_MgSiAs3
_cell_length_a 4.940
_cell_length_b 4.940
_cell_length_c 4.940
_cell_angle_alpha 90.00
_cell_angle_beta 90.00
_cell_angle_gamma 90.00
_space_group_name_H-M_alt 'P m -3 m'
_space_group_IT_number 221
_space_group_name_Hall '-P 4 2 3'
loop_
_atom_site_label
_atom_site_fract_x
_atom_site_fract_y
_atom_site_fract_z
Mg1 0.000 0.000 0.000
Si1 0.500 0.500 0.500
As1 0.000 0.000 0.500
```

## Sr6As2SeBr3 (PBE-GGA)

Data for crystalline Sr6As2SeBr3 at its relaxed geometry.

Calculated values
The final energy comes out at -3.9727 eV per atom. Its formation energy (no corrections) is -1.648 eV per atom. For the density, the calculation gives 4.166 Mg/m³.

```
data_Sr6As2SeBr3
_cell_length_a 7.863
_cell_length_b 13.618
_cell_length_c 7.851
_cell_angle_alpha 90.00
_cell_angle_beta 109.48
_cell_angle_gamma 90.00
_space_group_name_H-M_alt 'C 1 2/m 1'
_space_group_IT_number 12
loop_
_space_group_symop_operation_xyz
'x,y,z'
'-x,-y,-z'
'-x,y,-z'
'x,-y,z'
'x+1/2,y+1/2,z'
'-x+1/2,-y+1/2,-z'
'-x+1/2,y+1/2,-z'
'x+1/2,-y+1/2,z'
loop_
_atom_site_label
_atom_site_fract_x
_atom_site_fract_y
_atom_site_fract_z
Sr1 0.233 0.000 0.218
Sr2 0.243 0.330 0.219
As1 0.000 0.167 0.000
Se1 0.000 0.500 0.000
Br1 0.000 0.000 0.500
Br2 0.000 0.336 0.500
```